No. 1
Here is Rb6Br2ClO after structural relaxation from Alexandria. Energies are from GGA-PBE.

Properties
total magnetic moment: 0.00 μB per formula unit
raw total energy: -2.90 eV/atom
formation energy without anion corrections: -1.307 eV/atom

a = 8.089 Å, b = 9.179 Å, c = 12.019 Å
α = 90.00°, β = 90.00°, γ = 90.00°
Positions (direct):
Rb (0.500, 0.216, 0.269)
Rb (0.233, 0.019, 0.000)
Rb (0.757, 0.405, 0.500)
Cl (0.500, 0.300, 0.000)
Rb (0.267, 0.981, 0.500)
Br (0.500, 0.849, 0.803)
Br (0.000, 0.151, 0.697)
Rb (0.733, 0.981, 0.500)
Br (0.500, 0.849, 0.197)
Rb (0.500, 0.216, 0.731)
Rb (0.243, 0.405, 0.500)
Rb (0.767, 0.019, 0.000)
Cl (0.000, 0.700, 0.500)
Rb (0.743, 0.595, 0.000)
Br (0.000, 0.151, 0.303)
Rb (0.257, 0.595, 0.000)
Rb (0.000, 0.784, 0.769)
O (0.000, 0.795, 0.000)
Rb (0.000, 0.784, 0.231)
O (0.500, 0.205, 0.500)


No. 2
Here is Rb12Br4ClO3 after structural relaxation from Alexandria. Energies are from GGA-PBE.

Properties
total magnetic moment: 0.00 μB per formula unit
raw total energy: -3.02 eV/atom
formation energy without anion corrections: -1.270 eV/atom

a = 10.028 Å, b = 10.028 Å, c = 10.028 Å
α = 109.47°, β = 109.47°, γ = 109.47°
Positions (direct):
Rb (0.000, 0.726, 0.726)
Rb (0.750, 0.500, 0.250)
Rb (0.726, 0.000, 0.726)
Rb (0.250, 0.500, 0.750)
Cl (0.000, 0.000, 0.000)
Rb (0.274, 0.274, 0.000)
Rb (0.726, 0.726, 0.000)
Rb (0.750, 0.250, 0.500)
Rb (0.250, 0.750, 0.500)
Rb (0.000, 0.274, 0.274)
Rb (0.500, 0.250, 0.750)
Rb (0.500, 0.750, 0.250)
Rb (0.274, 0.000, 0.274)
Br (0.000, 0.000, 0.500)
Br (0.000, 0.500, 0.000)
O (0.500, 0.000, 0.500)
Br (0.500, 0.500, 0.500)
O (0.500, 0.500, 0.000)
Br (0.500, 0.000, 0.000)
O (0.000, 0.500, 0.500)


- The highest formation energy without anion corrections belongs to which entry?
  Rb12Br4ClO3


- Among the records above, which one has the highest raw total energy?
  Rb6Br2ClO